Run i
## NaAu2F8 (PBE-GGA)

Data for crystalline NaAu2F8 at its relaxed geometry.

Values from the calculation:
DOS at the Fermi energy = 10.13 states/eV per cell
calculated volume = 15.85 Å³/atom
SG = No. 97

a b c (Å): 6.707 6.707 6.707
angles (deg): 129.67 129.67 73.93
Positions (direct):
Na: 0.000 0.000 0.000
Au: 0.250 0.750 0.500
Au: 0.750 0.250 0.500
F: 0.046 0.554 0.848
F: 0.197 0.046 0.492
F: 0.295 0.446 0.492
F: 0.446 0.954 0.152
F: 0.554 0.705 0.508
F: 0.705 0.197 0.152
F: 0.803 0.295 0.848
F: 0.954 0.803 0.508

---

Run ii
## NaAu2F8 (PBE-GGA)

Data for crystalline NaAu2F8 at its relaxed geometry.

Values from the calculation:
DOS at the Fermi energy = 17.32 states/eV per cell
calculated volume = 16.67 Å³/atom
SG = No. 2

a b c (Å): 5.266 6.122 6.129
angles (deg): 68.44 86.66 86.59
Positions (direct):
Na: 0.000 0.000 0.000
Au: 0.253 0.357 0.357
Au: 0.747 0.643 0.643
F: 0.243 0.549 0.551
F: 0.246 0.075 0.641
F: 0.247 0.642 0.077
F: 0.269 0.166 0.165
F: 0.731 0.834 0.835
F: 0.753 0.358 0.923
F: 0.754 0.925 0.359
F: 0.757 0.451 0.449

---

Which structure is the least stable? The one labeled run ii.

---

Run i
## Nb2AuF (PBE-GGA)

Data for crystalline Nb2AuF at its relaxed geometry.

Values from the calculation:
DOS at the Fermi energy = 9.50 states/eV per cell
calculated volume = 19.10 Å³/atom
SG = No. 122

a b c (Å): 7.974 7.974 7.974
angles (deg): 146.62 146.62 47.92
Positions (direct):
Nb: 0.024 0.625 0.899
Nb: 0.375 0.274 0.399
Nb: 0.726 0.125 0.101
Nb: 0.875 0.976 0.601
Au: 0.250 0.750 0.500
Au: 0.500 0.500 0.000
F: 0.000 0.000 0.000
F: 0.750 0.250 0.500

---

Run ii
## Nb2AuF (PBE-GGA)

Data for crystalline Nb2AuF at its relaxed geometry.

Values from the calculation:
DOS at the Fermi energy = 1.67 states/eV per cell
calculated volume = 16.28 Å³/atom
SG = No. 225

a b c (Å): 4.515 4.515 4.515
angles (deg): 60.00 60.00 60.00
Positions (direct):
Nb: 0.250 0.250 0.250
Nb: 0.750 0.750 0.750
Au: 0.000 0.000 0.000
F: 0.500 0.500 0.500

---

Which structure is the least stable? The one labeled run i.

---

Run i
## NbAuOF2 (PBE-GGA)

Data for crystalline NbAuOF2 at its relaxed geometry.

Values from the calculation:
DOS at the Fermi energy = 7.95 states/eV per cell
calculated volume = 16.22 Å³/atom
SG = No. 123

a b c (Å): 4.445 4.445 4.105
angles (deg): 90.00 90.00 90.00
Positions (direct):
Nb: 0.000 0.000 0.000
Au: 0.500 0.500 0.500
O: 0.500 0.500 0.000
F: 0.000 0.500 0.500
F: 0.500 0.000 0.500

---

Run ii
## NbAuOF2 (PBE-GGA)

Data for crystalline NbAuOF2 at its relaxed geometry.

Values from the calculation:
DOS at the Fermi energy = 5.40 states/eV per cell
calculated volume = 14.50 Å³/atom
SG = No. 123

a b c (Å): 4.287 4.287 3.947
angles (deg): 90.00 90.00 90.00
Positions (direct):
Nb: 0.000 0.000 0.000
Au: 0.500 0.500 0.500
O: 0.000 0.000 0.500
F: 0.000 0.500 0.000
F: 0.500 0.000 0.000

---

Which structure is the least stable? The one labeled run i.